Pm2DyTmS5 after structural relaxation, computed with PBE.

POSCAR file:
```
Pm2DyTmS5
1.0
4.8221 0.0000 0.0000
0.0000 4.8221 0.0000
0.0000 0.0000 10.2122
Pm Dy Tm S
2 1 1 5
Direct
0.0000 0.0000 0.2034 Pm
0.0000 0.0000 0.7966 Pm
0.5000 0.5000 0.5000 Dy
0.5000 0.5000 0.0000 Tm
0.0000 0.0000 0.5000 S
0.0000 0.5000 0.0000 S
0.5000 0.0000 0.0000 S
0.5000 0.5000 0.2538 S
0.5000 0.5000 0.7462 S
```

Summary:
Formation energy (no corrections), eV/atom: -1.461
VASP energy, eV per atom: -5.818